No. 1
{"formula": "Gd2Hf", "functional": "GGA-PBE", "state": "relaxed", "cell": [[3.358, 0.000, 0.000], [0.000, 3.358, 0.000], [-1.679, -1.679, 7.574]], "species": ["Gd", "Gd", "Hf"], "frac_coords": [[0.652, 0.652, 0.304], [0.348, 0.348, 0.696], [0.000, 0.000, 0.000]], "dos_at_fermi_per_ev_cell": 3.96, "magmom_total_mub_per_fu": 14.80, "spacegroup": "I4/mmm, No. 139"}

=====

No. 2
{"formula": "Gd3Hf", "functional": "GGA-PBE", "state": "relaxed", "cell": [[4.886, 0.000, 0.000], [0.000, 4.886, 0.000], [-2.443, -2.443, 4.841]], "species": ["Gd", "Gd", "Gd", "Hf"], "frac_coords": [[0.750, 0.250, 0.500], [0.250, 0.750, 0.500], [0.500, 0.500, 0.000], [0.000, 0.000, 0.000]], "dos_at_fermi_per_ev_cell": 6.33, "magmom_total_mub_per_fu": 21.17, "spacegroup": "I4/mmm, No. 139"}

=====

No. 3
{"formula": "GdHf5", "functional": "GGA-PBE", "state": "relaxed", "cell": [[-2.820, -3.526, -0.383], [0.866, -1.160, 4.299], [-5.642, 4.516, -0.038]], "species": ["Gd", "Hf", "Hf", "Hf", "Hf", "Hf"], "frac_coords": [[0.000, 0.000, 0.000], [0.000, 0.672, 0.344], [0.000, 0.328, 0.656], [0.500, 0.500, 0.000], [0.500, 0.171, 0.343], [0.500, 0.829, 0.657]], "dos_at_fermi_per_ev_cell": 8.51, "magmom_total_mub_per_fu": 7.24, "spacegroup": "Cmmm, No. 65"}

=====

No. 4
{"formula": "Gd2HfHg", "functional": "GGA-PBE", "state": "relaxed", "cell": [[3.450, 0.000, 0.000], [0.000, 3.450, 0.000], [0.000, 0.000, 8.912]], "species": ["Gd", "Gd", "Hf", "Hg"], "frac_coords": [[0.000, 0.000, 0.755], [0.000, 0.000, 0.245], [0.500, 0.500, 0.500], [0.500, 0.500, 0.000]], "dos_at_fermi_per_ev_cell": 3.86, "magmom_total_mub_per_fu": 14.62, "spacegroup": "P4/mmm, No. 123"}

=====

Energy of formation from the pure elements
In order: 11.9; 16.0; 13.8; -14.5
Unit: kJ per mole of atoms